(1)
Material: Mg2Pd
Method: DFT, meta-GGA SCAN
State: PBEsol geometry

Properties
* ΔE_f: -0.62 eV/atom
* crystal system: cubic

Cell: 8.473 8.473 8.473 Å, 60.00 60.00 60.00°
Positions (direct):
Mg  0.000  0.000  0.000
Mg  0.000  0.000  0.500
Mg  0.000  0.500  0.000
Mg  0.181  0.181  0.569
Mg  0.181  0.569  0.181
Mg  0.181  0.569  0.569
Mg  0.431  0.431  0.819
Mg  0.431  0.819  0.431
Mg  0.431  0.819  0.819
Mg  0.500  0.000  0.000
Mg  0.569  0.181  0.181
Mg  0.569  0.181  0.569
Mg  0.569  0.569  0.181
Mg  0.819  0.431  0.431
Mg  0.819  0.431  0.819
Mg  0.819  0.819  0.431
Pd  0.146  0.785  0.785
Pd  0.215  0.215  0.215
Pd  0.215  0.215  0.854
Pd  0.215  0.854  0.215
Pd  0.785  0.146  0.785
Pd  0.785  0.785  0.146
Pd  0.785  0.785  0.785
Pd  0.854  0.215  0.215

***

(2)
Material: MgPd2
Method: DFT, meta-GGA SCAN
State: PBEsol geometry

Properties
* ΔE_f: -0.62 eV/atom
* crystal system: orthorhombic

Cell: 5.464 4.082 8.112 Å, 90.00 90.00 90.00°
Positions (direct):
Mg  0.160  0.250  0.097
Mg  0.340  0.750  0.597
Mg  0.660  0.250  0.403
Mg  0.840  0.750  0.903
Pd  0.080  0.250  0.761
Pd  0.151  0.250  0.426
Pd  0.349  0.750  0.926
Pd  0.420  0.750  0.261
Pd  0.580  0.250  0.739
Pd  0.651  0.250  0.074
Pd  0.849  0.750  0.574
Pd  0.920  0.750  0.239

***

(3)
Material: Mg2Pd
Method: DFT, meta-GGA SCAN
State: PBEsol geometry

Properties
* ΔE_f: -0.59 eV/atom
* crystal system: tetragonal

Cell: 5.489 5.489 5.489 Å, 145.58 145.58 49.47°
Positions (direct):
Mg  0.147  0.147  0.000
Mg  0.853  0.853  0.000
Pd  0.500  0.500  0.000

***

(4)
Material: PrMgPd
Method: DFT, meta-GGA SCAN
State: PBEsol geometry

Properties
* ΔE_f: -0.73 eV/atom
* crystal system: hexagonal

Cell: 7.591 7.591 4.079 Å, 90.00 90.00 120.00°
Positions (direct):
Pr  0.000  0.585  0.000
Pr  0.415  0.415  0.000
Pr  0.585  0.000  0.000
Mg  0.000  0.240  0.500
Mg  0.240  0.000  0.500
Mg  0.760  0.760  0.500
Pd  0.000  0.000  0.000
Pd  0.333  0.667  0.500
Pd  0.667  0.333  0.500

***

(5)
Material: Mg2PdPt
Method: DFT, meta-GGA SCAN
State: PBEsol geometry

Properties
* ΔE_f: -0.91 eV/atom
* crystal system: cubic

Cell: 4.434 4.434 4.434 Å, 60.00 60.00 60.00°
Positions (direct):
Mg  0.250  0.250  0.250
Mg  0.750  0.750  0.750
Pd  0.000  0.000  0.000
Pt  0.500  0.500  0.500

***

(6)
Material: MgZr2PdPt
Method: DFT, meta-GGA SCAN
State: PBEsol geometry

Properties
* ΔE_f: 0.80 eV/atom
* crystal system: tetragonal

Cell: 4.936 4.936 4.299 Å, 90.00 90.00 90.00°
Positions (direct):
Mg  0.000  0.000  0.000
Zr  0.000  0.500  0.000
Zr  0.500  0.000  0.000
Pd  0.000  0.000  0.500
Pt  0.500  0.500  0.500

***

(7)
Material: Rb3MgPd
Method: DFT, meta-GGA SCAN
State: PBEsol geometry

Properties
* ΔE_f: 0.78 eV/atom
* crystal system: cubic

Cell: 6.692 6.692 6.692 Å, 90.00 90.00 90.00°
Positions (direct):
Rb  0.000  0.000  0.500
Rb  0.000  0.500  0.000
Rb  0.500  0.000  0.000
Mg  0.000  0.000  0.000
Pd  0.500  0.500  0.500

***

(8)
Material: RbMg3Pd
Method: DFT, meta-GGA SCAN
State: PBEsol geometry

Properties
* ΔE_f: -0.22 eV/atom
* crystal system: cubic

Cell: 5.188 5.188 5.188 Å, 90.00 90.00 90.00°
Positions (direct):
Rb  0.000  0.000  0.000
Mg  0.000  0.500  0.500
Mg  0.500  0.000  0.500
Mg  0.500  0.500  0.000
Pd  0.500  0.500  0.500

***

no.,mass density (g/cm³)
1,4.79
2,8.71
3,4.89
4,6.65
5,9.43
6,8.06
7,2.15
8,3.15